# ScW2Se

ScW2Se after structural relaxation (GGA-PBEsol, Alexandria).

Values from the calculation:
DFT total energy = -9.107 eV per atom
raw formation energy = 0.41 eV/atom

Cell: 5.1802 8.9154 2.9295 Å, 90.00 90.00 90.00°
Closest atoms and distances in Å follow each position.
Space group Cmmm (No. 65)
One atom of each set of equivalent atoms:
Sc 0.0000 0.0000 0.0000 (multiplicity 2)  2 Se 2.59
W 0.2500 0.2500 0.5000 (multiplicity 4)  2 W 2.59
Se 0.0000 0.5000 0.0000 (multiplicity 2)  2 Sc 2.59

***

# CaTlAu2

CaTlAu2 after structural relaxation (GGA-PBEsol, Alexandria).

Values from the calculation:
energy of formation from the pure elements = -437.5 meV per atom
DFT total energy = -3.590 eV per atom

Cell: 3.6299 3.6280 6.6573 Å, 90.00 90.07 90.00°
Closest atoms and distances in Å follow each position.
Space group P2/m (No. 10)
One atom of each set of equivalent atoms:
Ca 0.0000 0.0000 0.0000 (multiplicity 1)  8 Au 3.03-3.04, 2 Tl 3.33
Tl 0.0000 0.0000 0.5000 (multiplicity 1)  8 Au 3.08-3.09, 2 Ca 3.33
Au 0.4992 0.5000 0.7566 (multiplicity 2)  4 Ca 3.03-3.04, 4 Tl 3.08-3.09, 1 Au 3.24

***

# CaTlZn2P

CaTlZn2P after structural relaxation (GGA-PBEsol, Alexandria).

Values from the calculation:
energy of formation from the pure elements = 1177.7 meV per atom
DFT total energy = -1.566 eV per atom

Cell: 5.2636 5.2636 5.7556 Å, 90.00 90.00 90.00°
Closest atoms and distances in Å follow each position.
Space group P4/mmm (No. 123)
One atom of each set of equivalent atoms:
Ca 0.0000 0.0000 0.0000 (multiplicity 1)  4 Zn 2.63, 2 Tl 2.88
Tl 0.0000 0.0000 0.5000 (multiplicity 1)  2 Ca 2.88
Zn 0.0000 0.5000 0.0000 (multiplicity 2)  2 Ca 2.63
P 0.5000 0.5000 0.5000 (multiplicity 1)  4 Tl 3.72, 8 Zn 3.90

***

# KY2Ir

KY2Ir after structural relaxation (GGA-PBEsol, Alexandria).

Values from the calculation:
energy of formation from the pure elements = -274.7 meV per atom
relative energy among the computed polymorphs = 0.000 eV per atom
DFT total energy = -6.425 eV per atom

Cell: 3.4725 3.4725 10.3151 Å, 90.00 90.00 90.00°
Closest atoms and distances in Å follow each position.
Space group P4/mmm (No. 123)
One atom of each set of equivalent atoms:
K 0.0000 0.0000 0.0000 (multiplicity 1)  4 K 3.47
Y 0.5000 0.5000 0.3480 (multiplicity 2)  4 Ir 2.91, 1 Y 3.14
Ir 0.0000 0.0000 0.5000 (multiplicity 1)  8 Y 2.91

***

# Ca2FeRe

Ca2FeRe after structural relaxation (GGA-PBEsol, Alexandria).

Values from the calculation:
energy of formation from the pure elements = 959.5 meV per atom
relative energy among the computed polymorphs = 0.573 eV per atom
DFT total energy = -5.681 eV per atom

Cell: 4.0034 4.0034 4.6436 Å, 90.00 90.00 90.00°
Closest atoms and distances in Å follow each position.
Space group P4/mmm (No. 123)
One atom of each set of equivalent atoms:
Ca 0.0000 0.5000 0.0000 (multiplicity 2)  4 Ca 2.83, 4 Fe 3.07, 4 Re 3.07
Fe 0.0000 0.0000 0.5000 (multiplicity 1)  4 Re 2.83, 8 Ca 3.07
Re 0.5000 0.5000 0.5000 (multiplicity 1)  4 Fe 2.83, 8 Ca 3.07

***

# Tl2ICl

Tl2ICl after structural relaxation (GGA-PBEsol, Alexandria).

Values from the calculation:
relative energy among the computed polymorphs = 0.000 eV per atom
DFT total energy = -2.969 eV per atom
raw formation energy = -0.71 eV/atom

Cell: 7.9078 7.9078 7.9078 Å, 90.00 90.00 90.00°
Closest atoms and distances in Å follow each position.
Space group Fm-3m (No. 225)
One atom of each set of equivalent atoms:
Tl 0.2500 0.2500 0.2500 (multiplicity 8)  4 I 3.42, 4 Cl 3.42
I 0.0000 0.0000 0.0000 (multiplicity 4)  8 Tl 3.42
Cl 0.0000 0.0000 0.5000 (multiplicity 4)  8 Tl 3.42